(1)
Compound: Na2SbPbO4
Source: Alexandria via LeMat-Bulk
Functional: GGA-PBE
Structure: optimized geometry

Cell and atoms, written as CIF:
```
data_Na2SbPbO4
_space_group_name_H-M_alt 'I m m a'
_space_group_IT_number 74
_space_group_name_Hall '-I 2b 2'
_cell_length_a 6.452
_cell_length_b 6.492
_cell_length_c 12.030
_cell_angle_alpha 90.00
_cell_angle_beta 90.00
_cell_angle_gamma 90.00
loop_
_atom_site_label
_atom_site_type_symbol
_atom_site_fract_x
_atom_site_fract_y
_atom_site_fract_z
_atom_site_occupancy
Na1 Na 0.000 0.000 0.000 1
Na2 Na 0.250 0.250 0.250 1
Sb1 Sb 0.000 0.000 0.500 1
Pb1 Pb 0.250 0.250 0.750 1
O1 O 0.000 0.014 0.334 1
O2 O 0.215 0.250 0.501 1
```

Results
magnetization	0.0	μB per formula unit
total energy	-5.0551	eV per atom

***

(2)
Compound: NaSbPb2O
Source: Alexandria via LeMat-Bulk
Functional: GGA-PBE
Structure: optimized geometry

Cell and atoms, written as CIF:
```
data_NaSbPb2O
_space_group_name_H-M_alt 'P 4/m m m'
_space_group_IT_number 123
_space_group_name_Hall '-P 4 2'
_cell_length_a 5.199
_cell_length_b 5.199
_cell_length_c 4.711
_cell_angle_alpha 90.00
_cell_angle_beta 90.00
_cell_angle_gamma 90.00
loop_
_atom_site_label
_atom_site_type_symbol
_atom_site_fract_x
_atom_site_fract_y
_atom_site_fract_z
_atom_site_occupancy
Na1 Na 0.000 0.000 0.000 1
Sb1 Sb 0.500 0.500 0.000 1
Pb1 Pb 0.000 0.500 0.500 1
O1 O 0.500 0.500 0.500 1
```

Results
excess energy over the best structure of this formula in the dataset	0.266	eV per atom
magnetization	0.0	μB per formula unit

***

(3)
Compound: NaSbPb2O
Source: Alexandria via LeMat-Bulk
Functional: GGA-PBE
Structure: optimized geometry

Cell and atoms, written as CIF:
```
data_NaSbPb2O
_space_group_name_H-M_alt 'P 4/m m m'
_space_group_IT_number 123
_space_group_name_Hall '-P 4 2'
_cell_length_a 5.097
_cell_length_b 5.097
_cell_length_c 4.665
_cell_angle_alpha 90.00
_cell_angle_beta 90.00
_cell_angle_gamma 90.00
loop_
_atom_site_label
_atom_site_type_symbol
_atom_site_fract_x
_atom_site_fract_y
_atom_site_fract_z
_atom_site_occupancy
Na1 Na 0.000 0.000 0.000 1
Sb1 Sb 0.500 0.500 0.000 1
Pb1 Pb 0.000 0.500 0.500 1
O1 O 0.000 0.000 0.500 1
```

Results
excess energy over the best structure of this formula in the dataset	0.000	eV per atom
magnetization	0.0	μB per formula unit

***

(4)
Compound: Na2ScPbO4
Source: Alexandria via LeMat-Bulk
Functional: GGA-PBE
Structure: optimized geometry

Cell and atoms, written as CIF:
```
data_Na2ScPbO4
_space_group_name_H-M_alt 'P 1 2/m 1'
_space_group_IT_number 10
_cell_length_a 5.855
_cell_length_b 3.334
_cell_length_c 5.919
_cell_angle_alpha 90.00
_cell_angle_beta 109.21
_cell_angle_gamma 90.00
loop_
_space_group_symop_operation_xyz
'x,y,z'
'-x,-y,-z'
'-x,y,-z'
'x,-y,z'
loop_
_atom_site_label
_atom_site_type_symbol
_atom_site_fract_x
_atom_site_fract_y
_atom_site_fract_z
_atom_site_occupancy
Na1 Na 0.000 0.000 0.000 1
Na2 Na 0.500 0.500 0.000 1
Sc1 Sc 0.000 0.500 0.500 1
Pb1 Pb 0.500 0.000 0.500 1
O1 O 0.215 0.000 0.708 1
O2 O 0.231 0.500 0.280 1
```

Results
magnetization	0.0	μB per formula unit
total energy	-6.0090	eV per atom